The following is a PBE calculation of a relaxed KRb3Pb crystal, from Alexandria via LeMat-Bulk. Values from VASP.

Geometry as Quantum ESPRESSO input:
```
&SYSTEM
  ibrav = 0, nat = 5, ntyp = 3
/
ATOMIC_SPECIES
Pb 207.20 Pb.upf
K 39.10 K.upf
Rb 85.47 Rb.upf
CELL_PARAMETERS angstrom
-4.027 -5.833 2.206
5.948 -4.381 -0.729
1.875 1.372 7.050
ATOMIC_POSITIONS angstrom
Pb 1.898 -4.421 4.264
K 0.000 0.000 0.000
Rb 2.974 -2.191 -0.364
Rb 0.937 0.686 3.525
Rb -2.013 -2.916 1.103
```

* density: 2.041 g cm⁻³
* DOS(E_F): 2.29 states/eV/cell
* ΔE to the lowest computed polymorph: 490.2 meV/atom

---

The following is a PBE calculation of a relaxed K6Rb3Pb crystal, from Alexandria via LeMat-Bulk. Values from VASP.

Geometry as Quantum ESPRESSO input:
```
&SYSTEM
  ibrav = 0, nat = 20, ntyp = 3
/
ATOMIC_SPECIES
K 39.10 K.upf
Pb 207.20 Pb.upf
Rb 85.47 Rb.upf
CELL_PARAMETERS angstrom
6.346 0.000 0.000
0.000 13.633 -4.874
0.000 -0.264 16.300
ATOMIC_POSITIONS angstrom
K 4.759 12.783 5.937
K 4.759 7.691 -1.261
K 1.586 1.468 0.741
K 4.759 3.515 6.813
K 1.586 10.634 8.447
K 4.759 11.900 10.685
K 1.586 6.721 7.086
K 4.759 6.648 4.340
K 1.586 5.678 12.687
K 4.759 2.735 2.978
K 1.586 9.854 4.612
K 1.586 0.586 5.488
Pb 4.759 9.338 6.863
Pb 1.586 4.031 4.562
Rb 4.759 11.041 1.652
Rb 1.586 2.328 9.773
Rb 4.759 7.412 10.102
Rb 1.586 10.694 -2.498
Rb 1.586 5.957 1.323
Rb 4.759 2.675 13.923
```

* density: 1.654 g cm⁻³
* DOS(E_F): 15.74 states/eV/cell

---

The following is a PBE calculation of a relaxed KRb4Pb crystal, from Alexandria via LeMat-Bulk. Values from VASP.

Geometry as Quantum ESPRESSO input:
```
&SYSTEM
  ibrav = 0, nat = 12, ntyp = 3
/
ATOMIC_SPECIES
Rb 85.47 Rb.upf
K 39.10 K.upf
Pb 207.20 Pb.upf
CELL_PARAMETERS angstrom
7.057 0.000 1.491
3.528 6.939 0.746
0.061 0.000 16.614
ATOMIC_POSITIONS angstrom
Rb 5.556 0.000 8.329
Rb 7.057 4.685 1.491
Rb 4.641 2.330 12.617
Rb 3.528 2.254 0.746
Rb 2.477 2.330 5.488
Rb 8.169 4.609 13.363
Rb 5.090 6.939 10.522
Rb 6.005 4.609 6.234
K 0.552 0.000 14.385
K 6.565 0.000 3.720
Pb 7.087 3.467 9.798
Pb 3.559 3.473 9.053
```

* density: 2.403 g cm⁻³
* DOS(E_F): 8.56 states/eV/cell

---

The following is a PBE calculation of a relaxed KRb2Pb crystal, from Alexandria via LeMat-Bulk. Values from VASP.

Geometry as Quantum ESPRESSO input:
```
&SYSTEM
  ibrav = 0, nat = 8, ntyp = 3
/
ATOMIC_SPECIES
Rb 85.47 Rb.upf
Pb 207.20 Pb.upf
K 39.10 K.upf
CELL_PARAMETERS angstrom
-3.956 8.369 1.047
-2.794 -0.693 -5.015
-7.005 -4.905 4.580
ATOMIC_POSITIONS angstrom
Rb -7.331 -4.279 1.341
Rb -10.296 -0.862 2.521
Rb -7.252 3.043 0.286
Rb -5.610 -0.414 3.182
Pb -1.077 1.831 0.347
Pb -3.646 2.716 1.655
K -4.600 6.422 1.675
K -4.156 0.083 -1.030
```

* density: 2.663 g cm⁻³
* DOS(E_F): 5.23 states/eV/cell
* ΔE to the lowest computed polymorph: 11.4 meV/atom

---

The following is a PBE calculation of a relaxed KRb2Pb crystal, from Alexandria via LeMat-Bulk. Values from VASP.

Geometry as Quantum ESPRESSO input:
```
&SYSTEM
  ibrav = 0, nat = 8, ntyp = 3
/
ATOMIC_SPECIES
K 39.10 K.upf
Rb 85.47 Rb.upf
Pb 207.20 Pb.upf
CELL_PARAMETERS angstrom
6.522 0.000 0.000
0.000 6.522 0.000
0.000 0.000 9.347
ATOMIC_POSITIONS angstrom
K 3.261 3.261 0.000
K 0.000 0.000 4.673
Rb 0.000 3.261 2.337
Rb 0.000 0.000 0.000
Rb 3.261 0.000 7.010
Rb 3.261 3.261 4.673
Pb 3.261 0.000 2.337
Pb 0.000 3.261 7.010
```

* density: 3.485 g cm⁻³
* DOS(E_F): 6.88 states/eV/cell
* ΔE to the lowest computed polymorph: 56.4 meV/atom

---

The following is a PBE calculation of a relaxed K5Rb5Pb2 crystal, from Alexandria via LeMat-Bulk. Values from VASP.

Geometry as Quantum ESPRESSO input:
```
&SYSTEM
  ibrav = 0, nat = 12, ntyp = 3
/
ATOMIC_SPECIES
K 39.10 K.upf
Rb 85.47 Rb.upf
Pb 207.20 Pb.upf
CELL_PARAMETERS angstrom
6.344 0.000 1.794
2.584 10.921 2.977
0.250 0.158 11.233
ATOMIC_POSITIONS angstrom
K 1.146 3.260 8.064
K 5.444 3.013 4.977
K 3.733 8.066 11.027
K 8.032 7.818 7.940
K 0.000 0.000 0.000
Rb 3.385 4.195 12.258
Rb 6.972 10.647 11.687
Rb 2.205 0.432 4.317
Rb 4.589 5.539 8.002
Rb 5.792 6.884 3.746
Pb 2.088 4.450 4.730
Pb 7.089 6.629 11.274
```

* density: 2.234 g cm⁻³
* DOS(E_F): 11.41 states/eV/cell

---

| no. | raw total energy (eV per atom) |
| --- | --- |
| 1 | -1.073 |
| 2 | -1.324 |
| 3 | -1.452 |
| 4 | -1.750 |
| 5 | -1.705 |
| 6 | -1.495 |